1.
{"formula": "Ni5SbP6O24", "functional": "PBEsol", "state": "relaxed", "lattice_angstrom": [[8.3095, -0.0104, -0.0074], [4.0221, 7.2712, -0.0074], [4.0221, 2.3682, 6.8747]], "species": ["O", "O", "O", "Ni", "P", "Ni", "O", "Sb", "O", "O", "O", "O", "O", "P", "Ni", "O", "O", "P", "O", "O", "O", "P", "O", "O", "O", "Ni", "O", "O", "O", "O", "Ni", "O", "O", "P", "P", "O"], "frac_coords": [[0.0105, 0.6096, 0.8206], [0.0510, 0.2548, 0.9195], [0.9195, 0.0510, 0.2548], [0.0045, 0.0045, 0.0045], [0.5332, 0.2596, 0.9574], [0.1411, 0.1411, 0.1411], [0.7426, 0.0895, 0.9460], [0.8593, 0.8593, 0.8593], [0.5617, 0.4116, 0.7484], [0.3789, 0.1930, 0.9834], [0.5942, 0.2490, 0.4372], [0.0895, 0.9460, 0.7426], [0.8206, 0.0105, 0.6096], [0.9574, 0.5332, 0.2596], [0.6395, 0.6395, 0.6395], [0.5063, 0.3231, 0.1117], [0.1117, 0.5063, 0.3231], [0.2596, 0.9574, 0.5332], [0.6847, 0.8833, 0.4918], [0.9460, 0.7426, 0.0895], [0.3231, 0.1117, 0.5063], [0.7480, 0.0450, 0.4507], [0.4918, 0.6847, 0.8833], [0.6096, 0.8206, 0.0105], [0.9834, 0.3789, 0.1930], [0.3598, 0.3598, 0.3598], [0.2548, 0.9195, 0.0510], [0.8833, 0.4918, 0.6847], [0.1930, 0.9834, 0.3789], [0.4116, 0.7484, 0.5617], [0.4994, 0.4994, 0.4994], [0.7484, 0.5617, 0.4116], [0.4372, 0.5942, 0.2490], [0.0450, 0.4507, 0.7480], [0.4507, 0.7480, 0.0450], [0.2490, 0.4372, 0.5942]], "formation_energy_uncorrected_ev_per_atom": -1.5459, "final_energy_ev_per_atom": -6.99}

2.
{"formula": "Ni2Pt", "functional": "PBEsol", "state": "relaxed", "lattice_angstrom": [[-0.3832, -1.4035, -2.2000], [6.1300, 0.4179, -1.3344], [1.3348, -7.4149, 4.4979]], "species": ["Ni", "Ni", "Ni", "Pt", "Pt", "Pt", "Ni", "Ni", "Ni", "Ni", "Pt", "Ni"], "frac_coords": [[0.5000, 0.3379, 0.0849], [0.0000, 0.6552, 0.1520], [0.5000, 0.9997, 0.7544], [0.5000, 0.3441, 0.5990], [0.0000, 0.0000, 0.5000], [0.0000, 0.0000, 0.0000], [0.0000, 0.3448, 0.8480], [0.0000, 0.6764, 0.6779], [0.0000, 0.3236, 0.3221], [0.5000, 0.6621, 0.9151], [0.5000, 0.6559, 0.4010], [0.5000, 0.0003, 0.2456]], "final_energy_ev_per_atom": -6.44, "formation_energy_ev_per_atom": -0.02}

3.
{"formula": "SrCaEu2", "functional": "PBEsol", "state": "relaxed", "lattice_angstrom": [[6.2195, 0.0000, 0.0000], [3.1098, 5.3863, 0.0000], [3.1098, 1.7954, 5.0782]], "species": ["Sr", "Ca", "Eu", "Eu"], "frac_coords": [[0.0000, 0.0000, 0.0000], [0.5000, 0.5000, 0.5000], [0.2500, 0.2500, 0.2500], [0.7500, 0.7500, 0.7500]], "final_energy_ev_per_atom": -6.22, "formation_energy_ev_per_atom": 0.06}

4.
{"formula": "AlFeRu2", "functional": "PBEsol", "state": "relaxed", "lattice_angstrom": [[2.8480, 0.0000, 0.0000], [0.0000, 4.3956, 0.0000], [-1.4240, -2.1978, 4.1461]], "species": ["Fe", "Ru", "Ru", "Al"], "frac_coords": [[0.0000, 0.5000, 0.0000], [0.2515, 0.2515, 0.5031], [0.7485, 0.7485, 0.4969], [0.5000, 0.0000, 0.0000]], "final_energy_ev_per_atom": -8.37, "formation_energy_ev_per_atom": -0.02}

5.
{"formula": "RhAu", "functional": "PBEsol", "state": "relaxed", "lattice_angstrom": [[2.7627, 0.0000, 0.0000], [-1.3813, 2.3926, 0.0000], [0.0000, 0.0000, 4.6282]], "species": ["Rh", "Au"], "frac_coords": [[0.6667, 0.3333, 0.5000], [0.0000, 0.0000, 0.0000]], "final_energy_ev_per_atom": -5.77, "formation_energy_ev_per_atom": 0.26}

6.
{"formula": "Ba2CdSb", "functional": "PBEsol", "state": "relaxed", "lattice_angstrom": [[4.5171, 0.0000, 0.0000], [0.0000, 5.6286, 0.0000], [0.0000, 0.0000, 5.6286]], "species": ["Ba", "Sb", "Cd", "Ba"], "frac_coords": [[0.0000, 0.0000, 0.5000], [0.5000, 0.0000, 0.0000], [0.5000, 0.5000, 0.5000], [0.0000, 0.5000, 0.0000]], "formation_energy_uncorrected_ev_per_atom": -0.6841, "final_energy_ev_per_atom": -3.20, "relative_energy_mev_per_atom": 15}